The following is a DFT calculation (PBE with a Hubbard U) of NpSc2NiO8 after structural relaxation.

Values from the calculation:
final energy	-0.2992	hartree per atom
crystal system	monoclinic
total magnetic moment	0.99	μB per formula unit
calculated density	5.732	Mg/m³

Cell: 4.8113 4.8106 6.4598 Å, 86.71 93.29 93.42°
Last column: nearest neighbours and their distance in Å.
Sites, in units of the cell vectors:
1 O 0.8235 0.1768 0.2614  1 Ni 1.90, 1 Sc 2.11
2 O 0.1996 0.8000 0.2221  1 Np 1.92
3 O 0.2928 0.2925 0.5000  1 Ni 1.93, 2 Sc 2.03
4 Np 0.0000 0.0000 0.0000  4 O 1.92-2.00
5 Sc 0.4768 0.5232 0.7290  6 O 2.03-2.26
6 O 0.3033 0.3029 0.0000  1 Np 2.00, 2 Sc 2.18
7 O 0.1765 0.8232 0.7386  1 Ni 1.90, 1 Sc 2.11
8 Sc 0.5232 0.4768 0.2710  6 O 2.03-2.26
9 Ni 0.0000 0.0000 0.5000  4 O 1.90-1.93
10 O 0.6967 0.6971 0.0000  1 Np 2.00, 2 Sc 2.18
11 O 0.7072 0.7075 0.5000  1 Ni 1.93, 2 Sc 2.03
12 O 0.8004 0.2000 0.7779  1 Np 1.92